(1)
VASP calculation (PBE) on crystalline RbAlFeW2 at its relaxed geometry.

Unit cell a=4.8010 b=4.8010 c=4.2592 alpha=90.00 beta=90.00 gamma=90.00
Closest atoms and distances in Å follow each position.
Sites, in units of the cell vectors:
1 Al 0.5000 0.5000 0.5000  8 W 3.21, 4 Fe 3.39
2 Rb 0.0000 0.0000 0.0000  2 Fe 2.13
3 W 0.0000 0.5000 0.0000  2 Rb 2.40
4 W 0.5000 0.0000 0.0000  2 Rb 2.40
5 Fe 0.0000 0.0000 0.5000  2 Rb 2.13

## Properties
* space-group type: P4/mmm
* crystal system: tetragonal
* DOS at the Fermi energy: 8.50 states/eV/cell
* mass density: 9.1 g/cm³

(2)
VASP calculation (PBE) on crystalline AlFeRe2 at its relaxed geometry.

Unit cell a=4.2615 b=4.2615 c=4.2615 alpha=60.00 beta=60.00 gamma=60.00
Closest atoms and distances in Å follow each position.
Sites, in units of the cell vectors:
1 Re 0.0000 0.0000 0.0000  4 Fe 2.61, 4 Re 2.61
2 Re 0.2500 0.2500 0.2500  4 Re 2.61, 4 Al 2.61
3 Fe 0.7500 0.7500 0.7500  4 Al 2.61, 4 Re 2.61
4 Al 0.5000 0.5000 0.5000  4 Re 2.61, 4 Fe 2.61

## Properties
* space-group type: F-43m
* crystal system: cubic
* DOS at the Fermi energy: 3.47 states/eV/cell
* mass density: 13.8 g/cm³

(3)
VASP calculation (PBE) on crystalline AlFe2Re at its relaxed geometry.

Unit cell a=2.9187 b=2.9187 c=5.9852 alpha=90.00 beta=90.00 gamma=90.00
Closest atoms and distances in Å follow each position.
Sites, in units of the cell vectors:
1 Re 0.0000 0.0000 0.4823  5 Fe 2.54-2.82, 4 Al 2.70
2 Fe 0.0000 0.0000 0.0110  4 Fe 2.46, 4 Al 2.51
3 Fe 0.5000 0.5000 0.2346  4 Fe 2.46, 4 Re 2.54
4 Al 0.5000 0.5000 0.7721  5 Fe 2.51-2.77, 4 Re 2.70

## Properties
* space-group type: P4mm
* crystal system: tetragonal
* DOS at the Fermi energy: 3.65 states/eV/cell
* mass density: 10.6 g/cm³

(4)
VASP calculation (PBE) on crystalline AlFeRe2 at its relaxed geometry.

Unit cell a=4.7155 b=4.7155 c=4.5929 alpha=77.01 beta=77.01 gamma=34.06
Closest atoms and distances in Å follow each position.
Sites, in units of the cell vectors:
1 Re 0.9911 0.9911 0.0099  3 Fe 2.59-2.81, 6 Re 2.64-2.76, 3 Al 2.72-2.73
2 Re 0.5089 0.5089 0.4901  3 Fe 2.59-2.81, 6 Re 2.64-2.76, 3 Al 2.72-2.73
3 Fe 0.2500 0.2500 0.2500  6 Re 2.59-2.81, 4 Al 2.68, 2 Fe 2.76
4 Al 0.7500 0.7500 0.7500  4 Fe 2.68, 6 Re 2.72-2.73, 2 Al 2.76

## Properties
* space-group type: C2/m
* crystal system: monoclinic
* DOS at the Fermi energy: 3.70 states/eV/cell
* mass density: 13.6 g/cm³

(5)
VASP calculation (PBE) on crystalline AlFe2Re at its relaxed geometry.

Unit cell a=4.6040 b=4.6040 c=4.6040 alpha=133.52 beta=133.52 gamma=67.83
Closest atoms and distances in Å follow each position.
Sites, in units of the cell vectors:
1 Re 0.5000 0.5000 0.0000  8 Fe 2.57-2.64, 4 Al 2.64
2 Fe 0.0000 0.0000 0.0000  4 Re 2.57, 4 Al 2.64, 4 Fe 2.64
3 Fe 0.2500 0.7500 0.5000  4 Al 2.57, 4 Re 2.64, 4 Fe 2.64
4 Al 0.7500 0.2500 0.5000  8 Fe 2.57-2.64, 4 Re 2.64

## Properties
* space-group type: I-4m2
* crystal system: tetragonal
* DOS at the Fermi energy: 4.00 states/eV/cell
* mass density: 10.7 g/cm³

(6)
VASP calculation (PBE) on crystalline AlFeRe at its relaxed geometry.

Unit cell a=4.1045 b=4.1045 c=2.6877 alpha=90.00 beta=90.00 gamma=120.00
Closest atoms and distances in Å follow each position.
Sites, in units of the cell vectors:
1 Re 0.3333 0.6667 0.6406  3 Fe 2.56, 6 Al 2.65-2.80, 2 Re 2.69
2 Fe 0.6667 0.3333 0.2760  3 Al 2.43, 3 Re 2.56, 2 Fe 2.69
3 Al 0.0000 0.0000 0.0834  3 Fe 2.43, 3 Re 2.65, 2 Al 2.69

## Properties
* space-group type: P3m1
* crystal system: trigonal
* DOS at the Fermi energy: 2.00 states/eV/cell
* mass density: 11.4 g/cm³

DFT total energy? In order: -4.282; -9.332; -8.375; -9.279; -8.299; -8.259 eV/atom.